Entry 1:
! PBE-GGA LiIn2Te, relaxed; values from VASP
&SYSTEM
  ibrav = 0, nat = 4, ntyp = 3
/
ATOMIC_SPECIES
Li 6.94 Li.upf
In 114.82 In.upf
Te 127.60 Te.upf
CELL_PARAMETERS angstrom
3.230 0.000 0.000
0.000 4.304 0.000
-1.605 0.000 7.705
ATOMIC_POSITIONS angstrom
Li 0.000 0.000 0.000
In 0.021 2.152 5.698
In 1.628 0.000 3.897
Te 1.616 2.152 1.168
! ρ, Mg/m³: 5.6
! E_form (uncorrected), meV per atom: -265
! DFT total energy, eV/atom: -2.898
! Symmetry: Pm, No. 6



Entry 2:
! PBE-GGA LiInTe2, relaxed; values from VASP
&SYSTEM
  ibrav = 0, nat = 4, ntyp = 3
/
ATOMIC_SPECIES
Li 6.94 Li.upf
In 114.82 In.upf
Te 127.60 Te.upf
CELL_PARAMETERS angstrom
5.179 0.000 0.000
0.000 5.179 0.000
0.000 0.000 3.996
ATOMIC_POSITIONS angstrom
Li 0.000 0.000 0.000
In 2.590 2.590 0.000
Te 0.000 2.590 1.998
Te 2.590 0.000 1.998
! ρ, Mg/m³: 5.8
! E_form (uncorrected), meV per atom: -263
! DFT total energy, eV/atom: -2.997
! Symmetry: P4/mmm, No. 123



Entry 3:
! PBE-GGA LiIn2Te, relaxed; values from VASP
&SYSTEM
  ibrav = 0, nat = 8, ntyp = 3
/
ATOMIC_SPECIES
Li 6.94 Li.upf
In 114.82 In.upf
Te 127.60 Te.upf
CELL_PARAMETERS angstrom
5.947 0.000 0.000
0.000 10.157 0.000
0.000 0.000 3.600
ATOMIC_POSITIONS angstrom
Li 0.000 0.000 0.000
Li 2.974 5.078 0.000
In 1.487 2.539 1.800
In 1.487 7.618 1.800
In 4.461 2.539 1.800
In 4.461 7.618 1.800
Te 0.000 5.078 0.000
Te 2.974 0.000 0.000
! ρ, Mg/m³: 5.6
! E_form (uncorrected), meV per atom: -189
! DFT total energy, eV/atom: -2.822
! Symmetry: Cmmm, No. 65



Entry 4:
! PBE-GGA LiInTe2, relaxed; values from VASP
&SYSTEM
  ibrav = 0, nat = 4, ntyp = 3
/
ATOMIC_SPECIES
Li 6.94 Li.upf
In 114.82 In.upf
Te 127.60 Te.upf
CELL_PARAMETERS angstrom
3.368 0.000 0.000
0.000 3.368 0.000
0.000 0.000 9.542
ATOMIC_POSITIONS angstrom
Li 0.000 0.000 0.000
In 0.000 0.000 4.771
Te 1.684 1.684 2.024
Te 1.684 1.684 7.518
! ρ, Mg/m³: 5.8
! E_form (uncorrected), meV per atom: -299
! DFT total energy, eV/atom: -3.033
! Symmetry: P4/mmm, No. 123



Entry 5:
! PBE-GGA LiInTe2, relaxed; values from VASP
&SYSTEM
  ibrav = 0, nat = 8, ntyp = 3
/
ATOMIC_SPECIES
Li 6.94 Li.upf
In 114.82 In.upf
Te 127.60 Te.upf
CELL_PARAMETERS angstrom
4.270 0.000 0.000
0.000 4.270 0.000
0.000 0.000 12.046
ATOMIC_POSITIONS angstrom
Li 0.000 0.000 0.000
Li 2.135 2.135 6.023
In 0.000 2.135 3.012
In 2.135 0.000 9.035
Te 0.000 0.000 6.023
Te 0.000 2.135 9.035
Te 2.135 0.000 3.012
Te 2.135 2.135 0.000
! ρ, Mg/m³: 5.7
! E_form (uncorrected), meV per atom: -265
! DFT total energy, eV/atom: -2.999
! Symmetry: I-4m2, No. 119



Entry 6:
! PBE-GGA LiIn5Te8, relaxed; values from VASP
&SYSTEM
  ibrav = 0, nat = 14, ntyp = 3
/
ATOMIC_SPECIES
Li 6.94 Li.upf
In 114.82 In.upf
Te 127.60 Te.upf
CELL_PARAMETERS angstrom
0.000 6.188 6.188
6.188 0.000 6.188
6.188 6.188 0.000
ATOMIC_POSITIONS angstrom
Li 0.000 0.000 0.000
In 7.832 4.543 4.543
In 3.094 3.094 3.094
In 4.543 7.832 4.543
In 4.543 4.543 7.832
In 7.832 7.832 7.832
Te 4.768 4.768 4.768
Te 7.608 7.608 4.768
Te 7.608 4.768 7.608
Te 10.773 7.790 7.790
Te 4.768 7.608 7.608
Te 7.790 10.773 7.790
Te 7.790 7.790 10.773
Te 10.773 10.773 10.773
! ρ, Mg/m³: 5.6
! E_form (uncorrected), meV per atom: -331
! DFT total energy, eV/atom: -3.241
! Symmetry: F-43m, No. 216



Entry 7:
! PBE-GGA LiIn2Te, relaxed; values from VASP
&SYSTEM
  ibrav = 0, nat = 8, ntyp = 3
/
ATOMIC_SPECIES
Li 6.94 Li.upf
In 114.82 In.upf
Te 127.60 Te.upf
CELL_PARAMETERS angstrom
4.296 0.000 0.000
0.000 5.078 0.000
0.000 0.000 9.818
ATOMIC_POSITIONS angstrom
Li 0.000 0.000 0.000
Li 2.148 2.539 4.909
In 0.000 0.000 5.172
In 0.000 2.539 7.507
In 2.148 0.000 2.597
In 2.148 2.539 0.263
Te 0.000 2.539 2.906
Te 2.148 0.000 7.815
! ρ, Mg/m³: 5.6
! E_form (uncorrected), meV per atom: -238
! DFT total energy, eV/atom: -2.871
! Symmetry: Imm2, No. 44



Entry 8:
! PBE-GGA Li2InTe, relaxed; values from VASP
&SYSTEM
  ibrav = 0, nat = 12, ntyp = 3
/
ATOMIC_SPECIES
Li 6.94 Li.upf
In 114.82 In.upf
Te 127.60 Te.upf
CELL_PARAMETERS angstrom
4.353 0.000 0.000
-2.177 3.770 0.000
0.000 0.000 18.841
ATOMIC_POSITIONS angstrom
Li 0.000 0.000 0.000
Li 0.000 0.000 4.071
Li 0.000 2.513 12.561
Li 0.000 2.513 16.631
Li 2.177 1.257 6.280
Li 2.177 1.257 10.351
In 0.000 0.000 14.640
In 0.000 2.513 8.359
In 2.177 1.257 2.079
Te 0.000 0.000 11.522
Te 0.000 2.513 5.242
Te 2.177 1.257 17.803
! ρ, Mg/m³: 4.1
! E_form (uncorrected), meV per atom: -528
! DFT total energy, eV/atom: -2.955
! Symmetry: R3m, No. 160



Entry 9:
! PBE-GGA LiInTe2, relaxed; values from VASP
&SYSTEM
  ibrav = 0, nat = 8, ntyp = 3
/
ATOMIC_SPECIES
Li 6.94 Li.upf
In 114.82 In.upf
Te 127.60 Te.upf
CELL_PARAMETERS angstrom
6.592 0.000 0.000
0.000 8.430 0.000
-1.313 0.000 4.017
ATOMIC_POSITIONS angstrom
Li 0.000 0.000 0.000
Li 3.296 4.215 0.000
In 0.000 4.215 0.000
In 3.296 0.000 0.000
Te 0.991 2.108 2.008
Te 0.991 6.323 2.008
Te 4.287 2.108 2.008
Te 4.287 6.323 2.008
! ρ, Mg/m³: 5.6
! E_form (uncorrected), meV per atom: -336
! DFT total energy, eV/atom: -3.070
! Symmetry: C2/m, No. 12



Entry 10:
! PBE-GGA Li2InTe, relaxed; values from VASP
&SYSTEM
  ibrav = 0, nat = 8, ntyp = 3
/
ATOMIC_SPECIES
Li 6.94 Li.upf
In 114.82 In.upf
Te 127.60 Te.upf
CELL_PARAMETERS angstrom
10.275 0.000 0.000
0.000 4.212 0.000
-0.023 0.000 4.342
ATOMIC_POSITIONS angstrom
Li 0.000 0.000 0.000
Li 2.223 0.000 2.190
Li 5.137 2.106 0.000
Li 7.360 2.106 2.190
In 5.066 0.000 2.171
In 10.204 2.106 2.171
Te 2.149 2.106 0.013
Te 7.287 0.000 0.013
! ρ, Mg/m³: 4.5
! E_form (uncorrected), meV per atom: -491
! DFT total energy, eV/atom: -2.918
! Symmetry: Cm, No. 8



Entry 11:
! PBE-GGA Li2InTe, relaxed; values from VASP
&SYSTEM
  ibrav = 0, nat = 8, ntyp = 3
/
ATOMIC_SPECIES
Li 6.94 Li.upf
In 114.82 In.upf
Te 127.60 Te.upf
CELL_PARAMETERS angstrom
7.918 0.000 0.000
0.000 4.205 0.000
-1.744 0.000 5.931
ATOMIC_POSITIONS angstrom
Li 1.432 0.000 1.065
Li 0.783 2.103 4.866
Li 5.391 2.103 1.065
Li 4.742 0.000 4.866
In -0.872 0.000 2.966
In 3.087 2.103 2.966
Te 0.000 2.103 0.000
Te 3.959 0.000 0.000
! ρ, Mg/m³: 4.3
! E_form (uncorrected), meV per atom: -485
! DFT total energy, eV/atom: -2.912
! Symmetry: C2/m, No. 12



Entry 12:
! PBE-GGA LiInTe2, relaxed; values from VASP
&SYSTEM
  ibrav = 0, nat = 8, ntyp = 3
/
ATOMIC_SPECIES
Li 6.94 Li.upf
In 114.82 In.upf
Te 127.60 Te.upf
CELL_PARAMETERS angstrom
4.443 0.000 0.000
0.000 5.022 0.000
0.000 0.000 9.656
ATOMIC_POSITIONS angstrom
Li 0.000 0.000 0.000
Li 2.222 2.511 0.000
In 0.000 0.000 4.828
In 2.222 2.511 4.828
Te 0.000 2.511 2.037
Te 0.000 2.511 7.619
Te 2.222 0.000 2.037
Te 2.222 0.000 7.619
! ρ, Mg/m³: 5.8
! E_form (uncorrected), meV per atom: -301
! DFT total energy, eV/atom: -3.034
! Symmetry: Cmmm, No. 65



Question: Number 11 is which compound?
Answer: Li2InTe



Question: Which of these has the highest DFT total energy?
Answer: number 3